Here is an optimized crystal structure of NiAsIrPt from OQMD via LeMat-Bulk. Energies are from GGA-PBE.

Unit cell a=4.3621 b=4.3621 c=4.3621 alpha=60.00 beta=60.00 gamma=60.00
Element x y z (fractional)
Ni 0.0000 0.0000 0.0000
As 0.7500 0.7500 0.7500
Ir 0.2500 0.2500 0.2500
Pt 0.5000 0.5000 0.5000

## Properties
calculated total energy: -6.040 eV/atom